Density functional theory data (GGA-PBE) for a geometry-optimized TiVCuRe structure.

Structure (extended XYZ):
```
4
Lattice="4.316 0.000 0.000 2.158 3.737 0.000 2.158 1.246 3.524" Properties=species:S:1:pos:R:3 pbc="T T T"
V 6.473 3.737 2.643
Cu 4.316 2.492 1.762
Ti 2.158 1.246 0.881
Re 0.000 0.000 0.000
```

Computed properties:
The formation energy is -0.1307 eV/atom. The density of states at the Fermi level is 5.07 states/eV per cell.